# Cs6SmO4 (GGA-PBE, relaxed)
data_Cs6SmO4
_space_group_name_H-M_alt 'P 63 m c'
_space_group_IT_number 186
_space_group_name_Hall 'P 6c -2c'
_cell_length_a 12.6361
_cell_length_b 12.6361
_cell_length_c 6.9101
_cell_angle_alpha 90.00
_cell_angle_beta 90.00
_cell_angle_gamma 120.00
loop_
_atom_site_label
_atom_site_fract_x
_atom_site_fract_y
_atom_site_fract_z
Cs1 0.1223 0.5612 0.0000
Cs2 0.1500 0.3000 0.4744
Sm1 0.3333 0.6667 0.5709
O1 0.2417 0.4833 0.7121
O2 0.3333 0.6667 0.2480
# - Energy relative to the elements, uncorrected: -1508 kJ/mol of formula units
# - Magnetization: 0.0 μB/cell